[1]
The following is a GGA-PBE calculation of a geometry-optimized LaMg2BeN structure, from the Alexandria database.

POSCAR file:
```
LaMg2BeN
1.0
6.501 0.000 0.000
0.000 6.501 0.000
0.000 0.000 4.143
La Mg Be N
1 2 1 1
Direct
0.000 0.000 0.000
0.000 0.500 0.000
0.500 0.000 0.000
0.500 0.500 0.500
0.000 0.000 0.500
```

Output
- M_tot (μB per cell) = 0.00
- space-group type = P4/mmm (123)
- E_tot (eV/atom) = -2.958
- raw formation energy (kJ/mol of formula units) = 519.2

=====

[2]
The following is a GGA-PBE calculation of a geometry-optimized TbZn3Pt structure, from the Alexandria database.

POSCAR file:
```
TbZn3Pt
1.0
5.607 0.000 0.000
0.000 5.392 0.000
-0.262 0.000 5.905
Tb Zn Pt
2 6 2
Direct
0.156 0.250 0.170
0.844 0.750 0.830
0.331 0.003 0.668
0.331 0.497 0.668
0.376 0.750 0.049
0.624 0.250 0.951
0.669 0.503 0.332
0.669 0.997 0.332
0.072 0.750 0.360
0.928 0.250 0.640
```

Output
- M_tot (μB per cell) = 0.00
- ΔE_f (meV per atom) = -588
- space-group type = P2_1/m (11)
- E_tot (eV/atom) = -3.486

=====

[3]
The following is a GGA-PBE calculation of a geometry-optimized TcRh2F structure, from the Alexandria database.

POSCAR file:
```
TcRh2F
1.0
0.000 3.007 3.007
3.007 0.000 3.007
3.007 3.007 0.000
Tc Rh F
1 2 1
Direct
0.000 0.000 0.000
0.250 0.250 0.250
0.750 0.750 0.750
0.500 0.500 0.500
```

Output
- M_tot (μB per cell) = 0.00
- space-group type = Fm-3m (225)
- energy relative to the lowest polymorph listed for this composition (meV per atom) = 0
- E_tot (eV/atom) = -6.570
- raw formation energy (kJ/mol of formula units) = 63.6

=====

[4]
The following is a GGA-PBE calculation of a geometry-optimized Nd9Dy2Er structure, from the Alexandria database.

POSCAR file:
```
Nd9Dy2Er
1.0
5.151 0.000 0.000
0.000 5.151 0.000
0.000 0.000 15.455
Nd Dy Er
9 2 1
Direct
0.000 0.000 0.000
0.000 0.000 0.333
0.000 0.000 0.667
0.000 0.500 0.166
0.000 0.500 0.500
0.000 0.500 0.834
0.500 0.000 0.166
0.500 0.000 0.500
0.500 0.000 0.834
0.500 0.500 0.333
0.500 0.500 0.667
0.500 0.500 0.000
```

Output
- M_tot (μB per cell) = 0.00
- ΔE_f (meV per atom) = 15
- space-group type = P4/mmm (123)
- E_tot (eV/atom) = -4.708

=====

[5]
The following is a GGA-PBE calculation of a geometry-optimized BiTeIN2 structure, from the Alexandria database.

POSCAR file:
```
BiTeIN2
1.0
4.451 0.000 0.000
0.000 4.451 0.000
0.000 0.000 7.534
Bi Te I N
1 1 1 2
Direct
0.000 0.000 0.000
0.500 0.500 0.500
0.000 0.000 0.500
0.000 0.500 0.000
0.500 0.000 0.000
```

Output
- M_tot (μB per cell) = 2.32
- space-group type = P4/mmm (123)
- energy relative to the lowest polymorph listed for this composition (meV per atom) = 68
- E_tot (eV/atom) = -3.503
- raw formation energy (kJ/mol of formula units) = 743.9

=====

[6]
The following is a GGA-PBE calculation of a geometry-optimized CeCuSn structure, from the Alexandria database.

POSCAR file:
```
CeCuSn
1.0
4.625 0.000 0.000
-2.312 4.005 0.000
0.000 0.000 7.528
Ce Cu Sn
2 2 2
Direct
0.000 0.000 0.000
0.000 0.000 0.500
0.333 0.667 0.307
0.667 0.333 0.807
0.333 0.667 0.736
0.667 0.333 0.236
```

Output
- M_tot (μB per cell) = 1.99
- ΔE_f (meV per atom) = -472
- space-group type = P6_3mc (186)
- E_tot (eV/atom) = -5.149

=====

Please write out number 3 again, unchanged.
The following is a GGA-PBE calculation of a geometry-optimized TcRh2F structure, from the Alexandria database.

POSCAR file:
```
TcRh2F
1.0
0.000 3.007 3.007
3.007 0.000 3.007
3.007 3.007 0.000
Tc Rh F
1 2 1
Direct
0.000 0.000 0.000
0.250 0.250 0.250
0.750 0.750 0.750
0.500 0.500 0.500
```

Output
- M_tot (μB per cell) = 0.00
- space-group type = Fm-3m (225)
- energy relative to the lowest polymorph listed for this composition (meV per atom) = 0
- E_tot (eV/atom) = -6.570
- raw formation energy (kJ/mol of formula units) = 63.6